The following is a PBE calculation of a relaxed ZrScVNi2 crystal, from Alexandria.

Unit cell a=4.5683 b=4.9946 c=4.5683 alpha=90.00 beta=90.00 gamma=90.00
Last column: nearest neighbours and their distance in Å.
Fractional coordinates of all 5 atoms:
Ni  0.5000  0.0000  0.0000  2 Zr 2.28
Ni  0.0000  0.0000  0.5000  2 Zr 2.28
Sc  0.0000  0.5000  0.0000  2 Zr 2.50
V  0.5000  0.5000  0.5000  4 Sc 3.23, 8 Ni 3.38
Zr  0.0000  0.0000  0.0000  4 Ni 2.28, 2 Sc 2.50

ΔH_f (0 K) (meV/atom): 1181
DFT total energy (eV/atom): -5.931

---

The following is a PBE calculation of a relaxed Sc2NiW crystal, from Alexandria.

Unit cell a=9.0093 b=9.0093 c=9.0093 alpha=19.29 beta=19.29 gamma=19.29
Last column: nearest neighbours and their distance in Å.
Fractional coordinates of all 4 atoms:
Sc  0.4929  0.4929  0.4929  3 Ni 2.67, 3 W 2.96
Sc  0.0071  0.0071  0.0071  3 Ni 2.67, 3 W 2.96
W  0.2500  0.2500  0.2500  6 Sc 2.96, 6 W 3.02
Ni  0.7500  0.7500  0.7500  6 Sc 2.67

ΔH_f (0 K) (meV/atom): 169
DFT total energy (eV/atom): -7.680

---

The following is a PBE calculation of a relaxed ScNiW4 crystal, from Alexandria.

Unit cell a=5.3005 b=5.3005 c=5.3005 alpha=60.00 beta=60.00 gamma=60.00
Last column: nearest neighbours and their distance in Å.
Fractional coordinates of all 6 atoms:
Ni  0.7500  0.7500  0.7500  12 W 3.11, 4 Sc 3.25
W  0.3743  0.3743  0.3743  6 W 2.64-2.66
W  0.8770  0.3743  0.3743  6 W 2.64-2.66
W  0.3743  0.3743  0.8770  6 W 2.64-2.66
W  0.3743  0.8770  0.3743  6 W 2.64-2.66
Sc  0.0000  0.0000  0.0000  12 W 3.11, 4 Ni 3.25

ΔH_f (0 K) (meV/atom): 443
DFT total energy (eV/atom): -10.211

---

The following is a PBE calculation of a relaxed Sc2NiW crystal, from Alexandria.

Unit cell a=4.5399 b=2.9514 c=5.3911 alpha=77.99 beta=90.00 gamma=90.00
Last column: nearest neighbours and their distance in Å.
Fractional coordinates of all 4 atoms:
Ni  0.5000  0.6623  0.7526  2 W 2.69, 5 Sc 2.69-3.00, 2 Ni 2.95
Sc  0.5000  0.2360  0.2936  3 Ni 2.69-3.00, 4 W 2.83-3.00, 2 Sc 2.95
Sc  0.0000  0.9990  0.9589  3 W 2.75-2.97, 4 Ni 2.80-3.05, 4 Sc 2.95-3.07
W  0.0000  0.6028  0.4950  2 Ni 2.69, 7 Sc 2.75-3.00, 2 W 2.95

ΔH_f (0 K) (meV/atom): 145
DFT total energy (eV/atom): -7.705